## DyNiBi (SCAN)

Data for a crystal of DyNiBi relaxed with PBEsol.

## Properties
Symmetry: No. 216
Formation energy, meV per atom: -806
Size of the total moment, Bohr magnetons per cell: 0.00

extended XYZ file:
```
3
Lattice="4.5096 0.0000 0.0000 2.2548 3.9054 0.0000 2.2548 1.3018 3.6821" Properties=species:S:1:pos:R:3 pbc="T T T"
Dy 2.2548 1.3018 0.9205
Ni 0.0000 0.0000 0.0000
Bi 6.7644 3.9054 2.7616
```